Here is PuNbCoO6 after structural relaxation from Alexandria via LeMat-Bulk. Energies are from PBE+U.

Lattice parameters (Å, degrees): 5.464 5.464 8.883 90.00 90.00 120.00
Each line ends with the local moment (μB).
Sites, in units of the cell vectors:
Pu: 0.667 0.333 0.750  3.40
O: 0.984 0.336 0.131  -0.05
O: 0.016 0.664 0.869  -0.05
Nb: 0.667 0.333 0.250  0.11
O: 0.648 0.984 0.869  -0.05
Nb: 0.333 0.667 0.750  0.11
O: 0.016 0.352 0.631  -0.05
O: 0.336 0.984 0.631  -0.05
Pu: 0.333 0.667 0.250  3.40
Co: 0.000 0.000 0.000  2.74
O: 0.352 0.016 0.131  -0.05
O: 0.664 0.016 0.369  -0.05
Co: 0.000 0.000 0.500  2.74
O: 0.648 0.664 0.631  -0.05
O: 0.336 0.352 0.869  -0.05
O: 0.664 0.648 0.131  -0.05
O: 0.352 0.336 0.369  -0.05
O: 0.984 0.648 0.369  -0.05

- final energy (eV for the cell shown) = -157.5
- V (Å³ per cell) = 229.70
- SG = P-31c (163)
- crystal system = trigonal
- Fermi-level density of states (states/eV per atom) = 0.88